Density functional theory data (PBE with a Hubbard U) for a relaxed AcBeFeO4 crystal.

Unit cell a=5.209 b=5.209 c=5.209 alpha=118.98 beta=118.98 gamma=91.78
Fractional coordinates of all 7 atoms:
Ac 0.000 0.000 0.000
Be 0.750 0.250 0.500
Fe 0.500 0.500 0.000
O 0.093 0.216 0.591
O 0.498 0.907 0.123
O 0.625 0.502 0.409
O 0.784 0.375 0.877

Summary:
Uncorrected energy ... -7.23 eV/atom